DFT (PBE) results for a relaxed structure of Tm2AlZn2Pt5.

Cell and atoms, written as POSCAR:
```
Tm2AlZn2Pt5
1.0
-0.611 3.587 0.787
-9.121 -0.935 -2.822
-2.521 -2.392 8.942
Pt Al Zn Tm
10 2 4 4
direct
0.500 0.700 0.436 Pt
0.500 0.300 0.564 Pt
0.500 0.564 0.700 Pt
0.500 0.000 0.500 Pt
0.500 0.200 0.064 Pt
0.500 0.500 0.000 Pt
0.500 0.436 0.300 Pt
0.500 0.064 0.800 Pt
0.500 0.936 0.200 Pt
0.500 0.800 0.936 Pt
0.000 0.000 0.000 Al
0.000 0.500 0.500 Al
0.000 0.875 0.375 Zn
0.000 0.125 0.625 Zn
0.000 0.625 0.875 Zn
0.000 0.375 0.125 Zn
0.000 0.674 0.174 Tm
0.000 0.826 0.674 Tm
0.000 0.326 0.826 Tm
0.000 0.174 0.326 Tm
```

Output
- density of states at the Fermi level (states/eV per atom) = 0.41
- E_form (eV per atom) = -0.922
- V (A^3/atom) = 17.1